Material: DyAgSb
Method: DFT, PBE
State: optimized geometry

a b c (Å): 4.572 4.572 4.107
angles (deg): 90.00 90.00 120.00
Positions (direct):
Dy 0.000 0.000 0.000
Ag 0.667 0.333 0.596
Sb 0.333 0.667 0.452

Total magnetization ... 0.000 μB per atom
E_tot ... -0.324 Ry per atom
SG ... P3m1
Volume ... 24.78 Å³ per atom

Material: ZnCdRu
Method: DFT, PBE
State: optimized geometry

a b c (Å): 5.441 5.441 5.441
angles (deg): 146.47 146.47 48.15
Positions (direct):
Zn 0.000 0.000 0.000
Cd 0.688 0.688 0.000
Ru 0.370 0.370 0.000

ΔE to the lowest computed polymorph ... 157 meV/atom
Total magnetization ... 0.005 μB per atom
E_tot ... -0.267 Ry per atom
SG ... I4mm
Volume ... 16.31 Å³ per atom
Formation enthalpy at 0 K ... 188.5 meV per atom

Material: Ti3MnBr
Method: DFT, PBE
State: optimized geometry

a b c (Å): 4.580 4.580 4.580
angles (deg): 90.00 90.00 90.00
Positions (direct):
Ti 0.000 0.000 0.500
Ti 0.000 0.500 0.000
Ti 0.500 0.000 0.000
Mn 0.500 0.500 0.500
Br 0.000 0.000 0.000

ΔE to the lowest computed polymorph ... 526 meV/atom
Total magnetization ... 0.012 μB per atom
E_tot ... -0.438 Ry per atom
SG ... Pm-3m
Volume ... 19.21 Å³ per atom

Material: TbHo4Pu3Se8
Method: DFT, PBE
State: optimized geometry

a b c (Å): 8.212 8.212 8.212
angles (deg): 59.56 59.56 59.56
Positions (direct):
Tb 0.000 0.000 0.000
Ho 0.000 0.000 0.500
Ho 0.000 0.500 0.000
Ho 0.500 0.000 0.000
Ho 0.500 0.500 0.500
Pu 0.000 0.500 0.500
Pu 0.500 0.000 0.500
Pu 0.500 0.500 0.000
Se 0.246 0.749 0.749
Se 0.248 0.248 0.248
Se 0.251 0.251 0.754
Se 0.251 0.754 0.251
Se 0.749 0.246 0.749
Se 0.749 0.749 0.246
Se 0.752 0.752 0.752
Se 0.754 0.251 0.251

Total magnetization ... 1.109 μB per atom
E_tot ... -0.555 Ry per atom
SG ... R-3m
Volume ... 24.23 Å³ per atom

Material: DyMg15Cd4
Method: DFT, PBE
State: optimized geometry

a b c (Å): 4.596 4.596 21.517
angles (deg): 90.00 90.00 90.00
Positions (direct):
Dy 0.000 0.000 0.000
Mg 0.000 0.500 0.108
Mg 0.000 0.500 0.303
Mg 0.000 0.500 0.500
Mg 0.000 0.500 0.697
Mg 0.000 0.500 0.892
Mg 0.500 0.000 0.108
Mg 0.500 0.000 0.303
Mg 0.500 0.000 0.500
Mg 0.500 0.000 0.697
Mg 0.500 0.000 0.892
Mg 0.500 0.500 0.000
Mg 0.500 0.500 0.208
Mg 0.500 0.500 0.401
Mg 0.500 0.500 0.599
Mg 0.500 0.500 0.792
Cd 0.000 0.000 0.203
Cd 0.000 0.000 0.402
Cd 0.000 0.000 0.598
Cd 0.000 0.000 0.797

Total magnetization ... 0.000 μB per atom
E_tot ... -0.123 Ry per atom
SG ... P4/mmm
Volume ... 22.73 Å³ per atom
Formation enthalpy at 0 K ... -67.7 meV per atom

Material: PIrAuC
Method: DFT, PBE
State: optimized geometry

a b c (Å): 4.954 4.954 2.899
angles (deg): 105.12 105.12 55.37
Positions (direct):
P 0.000 0.000 0.000
Ir 0.617 0.617 0.159
Au 0.312 0.312 0.513
C 0.782 0.782 0.799

ΔE to the lowest computed polymorph ... 202 meV/atom
Total magnetization ... 0.000 μB per atom
E_tot ... -0.450 Ry per atom
SG ... Cm
Volume ... 13.99 Å³ per atom
Formation enthalpy at 0 K ... 575.8 meV per atom